Entry 1:
Computed, not measured: a relaxed AcHoCrN4 crystal at the GGA-PBE level of DFT.

Lattice parameters (Å, degrees): 5.6207 5.6324 7.0909 90.00 108.26 90.00
Sites, in units of the cell vectors:
Ac: 0.2174 0.2500 0.4295
Ac: 0.7826 0.7500 0.5705
Ho: 0.2954 0.2500 0.9621
Ho: 0.7046 0.7500 0.0379
Cr: 0.2588 0.7500 0.1805
Cr: 0.7412 0.2500 0.8195
N: 0.0641 0.7500 0.3323
N: 0.0772 0.7500 0.9387
N: 0.4646 0.5073 0.2308
N: 0.4646 0.9927 0.2308
N: 0.5354 0.0073 0.7692
N: 0.5354 0.4927 0.7692
N: 0.9228 0.2500 0.0613
N: 0.9359 0.2500 0.6677

- total DFT energy (no corrections) (eV per atom) = -8.496
- uncorrected formation energy (meV per atom) = -1123.5

---

Entry 2:
Computed, not measured: a relaxed PrDyTlGa crystal at the GGA-PBE level of DFT.

Lattice parameters (Å, degrees): 3.7059 3.7059 7.7168 90.00 90.00 90.00
Sites, in units of the cell vectors:
Pr: 0.0000 0.0000 0.0000
Dy: 0.0000 0.0000 0.4664
Tl: 0.5000 0.5000 0.7186
Ga: 0.5000 0.5000 0.2473

- total DFT energy (no corrections) (eV per atom) = -4.160
- distance to the lowest polymorph of the same formula (eV/f.u.) = 0.00
- energy of formation from the pure elements (meV per atom) = -465.9

---

Entry 3:
Computed, not measured: a relaxed TiTeSe crystal at the GGA-PBE level of DFT.

Lattice parameters (Å, degrees): 3.6456 3.6456 6.8544 90.00 90.00 120.00
Sites, in units of the cell vectors:
Ti: 0.0000 0.0000 0.0000
Te: 0.3333 0.6667 0.7293
Se: 0.6667 0.3333 0.2083

- total DFT energy (no corrections) (eV per atom) = -5.760
- distance to the lowest polymorph of the same formula (eV/f.u.) = 0.00
- uncorrected formation energy (meV per atom) = -919.8

---

Entry 4:
Computed, not measured: a relaxed CeClF crystal at the GGA-PBE level of DFT.

Lattice parameters (Å, degrees): 8.1770 8.1770 8.1770 151.75 151.75 40.37
Sites, in units of the cell vectors:
Ce: 0.0000 0.0000 0.0000
Ce: 0.7500 0.2500 0.5000
Cl: 0.1799 0.6799 0.5000
Cl: 0.4299 0.4299 0.0000
F: 0.5928 0.0928 0.5000
F: 0.8428 0.8428 0.0000

- total DFT energy (no corrections) (eV per atom) = -5.851
- distance to the lowest polymorph of the same formula (eV/f.u.) = 0.04
- uncorrected formation energy (meV per atom) = -2633.7